Below is La2ZnGe3 after structural relaxation, with properties calculated at the PBE level.

Results
DOS at the Fermi energy = 0.439 states/eV per atom
Space-group type = Fmmm (69)
ΔH_f (0 K) = -0.70 eV/atom
Raw total energy = -4.862 eV/atom

Unit cell a=6.1257 b=6.1257 c=8.6389 alpha=110.71 beta=110.71 gamma=90.14
Fractional coordinates of all 12 atoms:
La: 0.2500 0.7500 0.5000
La: 0.7575 0.7575 0.0000
La: 0.7500 0.2500 0.5000
La: 0.2425 0.2425 0.0000
Zn: 0.3338 0.3338 0.6676
Zn: 0.6662 0.6662 0.3324
Ge: 0.6582 0.1731 0.8314
Ge: 0.8269 0.3418 0.1686
Ge: 0.3418 0.8269 0.1686
Ge: 0.1731 0.6582 0.8314
Ge: 0.8307 0.8307 0.6613
Ge: 0.1693 0.1693 0.3387